(1)
A relaxed structure of ScBiPt, computed with PBE.

abc: 4.780 4.780 6.388
angles: 90.00 90.00 120.00
Each line ends with the local moment (μB).
Fractional coordinates of all 6 atoms:
Bi: 0.333 0.667 0.250  0.00
Bi: 0.667 0.333 0.750  0.00
Pt: 0.667 0.333 0.250  0.04
Pt: 0.333 0.667 0.750  0.04
Sc: 0.000 0.000 0.000  0.19
Sc: 0.000 0.000 0.500  0.19


(2)
A relaxed structure of ScBiPt, computed with PBE.

abc: 7.410 4.320 8.271
angles: 90.00 90.00 90.00
Fractional coordinates of all 12 atoms:
Bi: 0.289 0.250 0.087
Bi: 0.789 0.250 0.413
Bi: 0.211 0.750 0.587
Bi: 0.711 0.750 0.913
Pt: 0.897 0.250 0.085
Pt: 0.397 0.250 0.415
Pt: 0.603 0.750 0.585
Pt: 0.103 0.750 0.915
Sc: 0.539 0.750 0.239
Sc: 0.039 0.750 0.261
Sc: 0.961 0.250 0.739
Sc: 0.461 0.250 0.761


(3)
A relaxed structure of ScBiPt, computed with PBE.

abc: 7.388 7.388 4.110
angles: 90.00 90.00 120.00
Fractional coordinates of all 9 atoms:
Bi: 0.667 0.333 0.000
Bi: 0.333 0.667 0.000
Bi: 0.000 0.000 0.500
Pt: 0.272 0.000 0.000
Pt: 0.000 0.272 0.000
Pt: 0.728 0.728 0.000
Sc: 0.588 0.000 0.500
Sc: 0.412 0.412 0.500
Sc: 0.000 0.588 0.500


(4)
A relaxed structure of ScBiPt, computed with PBE.

abc: 7.544 7.544 3.996
angles: 90.00 90.00 120.00
Fractional coordinates of all 9 atoms:
Bi: 0.274 0.000 0.000
Bi: 0.000 0.274 0.000
Bi: 0.726 0.726 0.000
Pt: 0.667 0.333 0.000
Pt: 0.333 0.667 0.000
Pt: 0.000 0.000 0.500
Sc: 0.609 0.000 0.500
Sc: 0.391 0.391 0.500
Sc: 0.000 0.609 0.500


(5)
A relaxed structure of ScBiPt, computed with PBE.

abc: 6.271 4.124 10.395
angles: 90.00 90.00 90.00
Fractional coordinates of all 12 atoms:
Bi: 0.628 0.750 0.162
Bi: 0.128 0.750 0.338
Bi: 0.872 0.250 0.662
Bi: 0.372 0.250 0.838
Pt: 0.866 0.250 0.044
Pt: 0.366 0.250 0.456
Pt: 0.634 0.750 0.544
Pt: 0.134 0.750 0.956
Sc: 0.259 0.250 0.131
Sc: 0.759 0.250 0.369
Sc: 0.241 0.750 0.631
Sc: 0.741 0.750 0.869


(6)
A relaxed structure of Sc2BiPt, computed with PBE.

abc: 4.933 4.933 4.933
angles: 60.00 60.00 60.00
Each line ends with the local moment (μB).
Fractional coordinates of all 4 atoms:
Bi: 0.500 0.500 0.500  0.02
Pt: 0.250 0.250 0.250  0.07
Sc: 0.000 0.000 0.000  0.58
Sc: 0.750 0.750 0.750  0.82


(7)
A relaxed structure of YScBi2Pt2, computed with PBE.

abc: 9.384 4.692 14.071
angles: 90.00 109.44 90.00
Fractional coordinates of all 24 atoms:
Bi: 0.563 0.000 0.125
Bi: 0.064 0.000 0.130
Bi: 0.439 0.500 0.377
Bi: 0.938 0.500 0.378
Bi: 0.314 0.000 0.621
Bi: 0.808 0.000 0.623
Bi: 0.682 0.500 0.870
Bi: 0.191 0.500 0.875
Pt: 0.999 0.500 0.000
Pt: 0.380 0.000 0.257
Pt: 0.878 0.000 0.258
Pt: 0.254 0.500 0.497
Pt: 0.743 0.500 0.498
Pt: 0.617 0.000 0.745
Pt: 0.134 0.000 0.752
Pt: 0.498 0.500 0.994
Sc: 0.189 0.000 0.376
Sc: 0.687 0.000 0.377
Sc: 0.560 0.500 0.623
Sc: 0.437 0.000 0.873
Y: 0.314 0.500 0.126
Y: 0.812 0.500 0.126
Y: 0.063 0.500 0.625
Y: 0.936 0.000 0.874


(8)
A relaxed structure of SiBiPt, computed with PBE.

abc: 4.548 4.548 4.548
angles: 60.00 60.00 60.00
Fractional coordinates of all 3 atoms:
Bi: 0.250 0.250 0.250
Pt: 0.000 0.000 0.000
Si: 0.750 0.750 0.750


(9)
A relaxed structure of Si3Bi2Pt2, computed with PBE.

abc: 8.614 8.614 8.614
angles: 30.31 30.31 30.31
Fractional coordinates of all 7 atoms:
Bi: 0.197 0.197 0.197
Bi: 0.768 0.768 0.768
Pt: 0.006 0.006 0.006
Pt: 0.472 0.472 0.472
Si: 0.368 0.368 0.368
Si: 0.650 0.650 0.650
Si: 0.913 0.913 0.913


(10)
A relaxed structure of Sn3Bi2Pt2, computed with PBE.

abc: 9.784 9.784 9.784
angles: 27.61 27.61 27.61
Fractional coordinates of all 7 atoms:
Bi: 0.186 0.186 0.186
Bi: 0.775 0.775 0.775
Pt: 0.008 0.008 0.008
Pt: 0.476 0.476 0.476
Sn: 0.375 0.375 0.375
Sn: 0.642 0.642 0.642
Sn: 0.913 0.913 0.913


(11)
A relaxed structure of SrBiPt2, computed with PBE.

abc: 4.636 4.636 5.509
angles: 90.00 90.00 120.00
Fractional coordinates of all 4 atoms:
Bi: 0.667 0.333 0.000
Pt: 0.000 0.000 0.247
Pt: 0.000 0.000 0.753
Sr: 0.333 0.667 0.500


(12)
A relaxed structure of TaBiPt2, computed with PBE.

abc: 4.723 4.723 4.723
angles: 60.00 60.00 60.00
Fractional coordinates of all 4 atoms:
Bi: 0.500 0.500 0.500
Pt: 0.000 0.000 0.000
Pt: 0.750 0.750 0.750
Ta: 0.250 0.250 0.250


Number 1: uncorrected energy -6.068 eV per atom. Number 2: uncorrected energy -6.134 eV per atom. Number 3: uncorrected energy -6.057 eV per atom. Number 4: uncorrected energy -6.174 eV per atom. Number 5: uncorrected energy -6.097 eV per atom. Number 6: uncorrected energy -5.993 eV per atom. Number 7: uncorrected energy -6.490 eV per atom. Number 8: uncorrected energy -5.222 eV per atom. Number 9: uncorrected energy -5.143 eV per atom. Number 10: uncorrected energy -4.775 eV per atom. Number 11: uncorrected energy -4.931 eV per atom. Number 12: uncorrected energy -6.936 eV per atom.